[1]
A plane-wave DFT calculation with PBE was carried out for crystalline RuW3 at its relaxed geometry.

Output
SG: Pm-3m
Calculated formation energy, eV/atom: 2.889

a b c (Å): 4.7315 4.7315 4.7315
angles (deg): 90.00 90.00 90.00
Closest atoms and distances in Å follow each position.
Fractional coordinates of all 4 atoms:
W: 0.0000 0.5000 0.0000  2 Ru 2.37
W: 0.5000 0.0000 0.0000  2 Ru 2.37
W: 0.0000 0.0000 0.5000  2 Ru 2.37
Ru: 0.0000 0.0000 0.0000  6 W 2.37

=====

[2]
A plane-wave DFT calculation with PBE was carried out for crystalline CaMnPb at its relaxed geometry.

Output
SG: F-43m
Calculated formation energy, eV/atom: 0.136

a b c (Å): 4.8941 4.8941 4.8941
angles (deg): 60.00 60.00 60.00
Closest atoms and distances in Å follow each position.
Fractional coordinates of all 3 atoms:
Pb: 0.0000 0.0000 0.0000  4 Mn 3.00
Mn: 0.2500 0.2500 0.2500  4 Pb 3.00, 4 Ca 3.00
Ca: 0.5000 0.5000 0.5000  4 Mn 3.00

=====

[3]
A plane-wave DFT calculation with PBE was carried out for crystalline K2MnHg at its relaxed geometry.

Output
SG: Pm
Calculated formation energy, eV/atom: 0.347

a b c (Å): 4.7756 5.2081 6.9019
angles (deg): 67.77 90.00 90.00
Closest atoms and distances in Å follow each position.
Fractional coordinates of all 4 atoms:
Hg: 0.5000 0.5713 0.7315  2 Mn 2.72
K: 0.5000 0.2762 0.3225  3 Hg 3.69-3.78, 4 Mn 3.76-3.77
K: 0.0000 0.9773 0.9200  3 Mn 3.62-3.87, 4 Hg 3.73
Mn: 0.0000 0.6752 0.5260  2 Hg 2.72

=====

[4]
A plane-wave DFT calculation with PBE was carried out for crystalline Y2SnRu at its relaxed geometry.

Output
SG: P4/mmm
Calculated formation energy, eV/atom: -0.438

a b c (Å): 3.8419 4.8918 4.8918
angles (deg): 90.00 90.00 90.00
Closest atoms and distances in Å follow each position.
Fractional coordinates of all 4 atoms:
Y: 0.0000 0.0000 0.5000  4 Sn 3.11, 4 Ru 3.11, 4 Y 3.46
Y: 0.0000 0.5000 0.0000  4 Sn 3.11, 4 Ru 3.11, 4 Y 3.46
Ru: 0.5000 0.0000 0.0000  8 Y 3.11, 4 Sn 3.46
Sn: 0.5000 0.5000 0.5000  8 Y 3.11, 4 Ru 3.46

=====

[5]
A plane-wave DFT calculation with PBE was carried out for crystalline Pr2Zn3Au4 at its relaxed geometry.

Output
SG: Cmce
Calculated formation energy, eV/atom: -0.553

a b c (Å): 5.9376 8.0149 8.4137
angles (deg): 90.00 110.66 90.00
Closest atoms and distances in Å follow each position.
Fractional coordinates of all 18 atoms:
Zn: 0.5000 0.5000 0.0000  6 Au 2.61-2.91
Zn: 0.5291 0.7500 0.5581  5 Au 2.70-2.75, 2 Zn 2.97
Zn: 0.4709 0.2500 0.4419  5 Au 2.70-2.75, 2 Zn 2.97
Zn: 0.0000 0.0000 0.0000  6 Au 2.61-2.91
Zn: 0.0291 0.7500 0.5581  5 Au 2.70-2.75, 2 Zn 2.97
Zn: 0.9709 0.2500 0.4419  5 Au 2.70-2.75, 2 Zn 2.97
Au: 0.7992 0.2500 0.0983  3 Zn 2.61-2.70
Au: 0.8156 0.0299 0.6311  5 Zn 2.75-2.91
Au: 0.7008 0.7500 0.9017  3 Zn 2.61-2.70
Au: 0.2008 0.7500 0.9017  3 Zn 2.61-2.70
Au: 0.1844 0.9701 0.3689  5 Zn 2.75-2.91
Au: 0.3156 0.4701 0.6311  5 Zn 2.75-2.91
Au: 0.6844 0.5299 0.3689  5 Zn 2.75-2.91
Au: 0.2992 0.2500 0.0983  3 Zn 2.61-2.70
Pr: 0.3835 0.0837 0.7670  8 Au 3.18-3.28, 6 Zn 3.25-3.55
Pr: 0.8835 0.4163 0.7670  8 Au 3.18-3.28, 6 Zn 3.25-3.55
Pr: 0.1165 0.5837 0.2330  8 Au 3.18-3.28, 6 Zn 3.25-3.55
Pr: 0.6165 0.9163 0.2330  8 Au 3.18-3.28, 6 Zn 3.25-3.55

=====

[6]
A plane-wave DFT calculation with PBE was carried out for crystalline HPbO at its relaxed geometry.

Output
Energy relative to the lowest polymorph listed for this composition, eV/atom: 0.146
SG: I4mm

a b c (Å): 3.7428 3.7428 4.7139
angles (deg): 113.39 113.39 90.00
Closest atoms and distances in Å follow each position.
Fractional coordinates of all 3 atoms:
Pb: 0.3435 0.3435 0.6870  4 O 2.65, 5 H 2.70-2.90
H: 0.6901 0.6901 0.3802  1 O 0.99
O: 0.8164 0.8164 0.6329  1 H 0.99

=====

[7]
A plane-wave DFT calculation with PBE was carried out for crystalline NdSmPuO6 at its relaxed geometry.

Output
Energy relative to the elements, uncorrected, eV per atom: -2.99
SG: P-31c

a b c (Å): 5.8688 5.8688 9.6588
angles (deg): 90.00 90.00 120.00
Closest atoms and distances in Å follow each position.
Fractional coordinates of all 18 atoms:
O: 0.3323 0.9664 0.6354  1 Pu 2.08
O: 0.3658 0.3323 0.3646  1 Pu 2.08
O: 0.6677 0.0336 0.3646  1 Pu 2.08
O: 0.9664 0.3323 0.1354  1 Pu 2.08
O: 0.0336 0.6677 0.8646  1 Pu 2.08
O: 0.6342 0.9664 0.8646  1 Pu 2.08
O: 0.0336 0.3658 0.6354  1 Pu 2.08
O: 0.3658 0.0336 0.1354  1 Pu 2.08
O: 0.6342 0.6677 0.6354  1 Pu 2.08
O: 0.9664 0.6342 0.3646  1 Pu 2.08
O: 0.6677 0.6342 0.1354  1 Pu 2.08
O: 0.3323 0.3658 0.8646  1 Pu 2.08
Pu: 0.6667 0.3333 0.2500  6 O 2.08
Pu: 0.3333 0.6667 0.7500  6 O 2.08
Nd: 0.0000 0.0000 0.5000  6 O 2.44
Nd: 0.0000 0.0000 0.0000  6 O 2.44
Sm: 0.6667 0.3333 0.7500  6 O 2.34
Sm: 0.3333 0.6667 0.2500  6 O 2.34

=====

[8]
A plane-wave DFT calculation with PBE was carried out for crystalline P7Se6 at its relaxed geometry.

Output
Energy relative to the elements, uncorrected, eV per atom: 0.50
SG: R-3m

a b c (Å): 8.4352 8.4352 8.4352
angles (deg): 44.18 44.18 44.18
Closest atoms and distances in Å follow each position.
Fractional coordinates of all 13 atoms:
Se: 0.6700 0.6700 0.6700  6 P 2.58-2.78
Se: 0.3300 0.3300 0.3300  6 P 2.58-2.78
Se: 0.8138 0.8138 0.8138  3 P 2.49
Se: 0.0505 0.0505 0.0505  1 Se 2.30
Se: 0.9495 0.9495 0.9495  1 Se 2.30
Se: 0.1862 0.1862 0.1862  3 P 2.49
P: 0.4349 0.4349 0.8743  1 P 2.46, 2 Se 2.49-2.58
P: 0.1257 0.5651 0.5651  1 P 2.46, 2 Se 2.49-2.58
P: 0.5651 0.1257 0.5651  1 P 2.46, 2 Se 2.49-2.58
P: 0.5000 0.5000 0.5000  6 P 2.46
P: 0.4349 0.8743 0.4349  1 P 2.46, 2 Se 2.49-2.58
P: 0.5651 0.5651 0.1257  1 P 2.46, 2 Se 2.49-2.58
P: 0.8743 0.4349 0.4349  1 P 2.46, 2 Se 2.49-2.58

=====

Number 1: N(E_F) 1.60 states/eV per atom. Number 2: N(E_F) 0.59 states/eV per atom. Number 3: N(E_F) 0.72 states/eV per atom. Number 4: N(E_F) 0.54 states/eV per atom. Number 5: N(E_F) 0.70 states/eV per atom. Number 6: N(E_F) 0.29 states/eV per atom. Number 7: N(E_F) 0.83 states/eV per atom. Number 8: N(E_F) 0.49 states/eV per atom.